No. 1
Density functional theory data (GGA-PBE) for an optimized crystal structure of Th3Al6Cu5.

Geometry as CIF:
```
data_Th3Al6Cu5
_symmetry_space_group_name_H-M 'P 1'
_symmetry_Int_Tables_number 1
_symmetry_space_group_name_Hall 'P 1'
_cell_length_a 4.149
_cell_length_b 12.252
_cell_length_c 10.401
_cell_angle_alpha 90.00
_cell_angle_beta 90.00
_cell_angle_gamma 90.00
loop_
_atom_site_label
_atom_site_type_symbol
_atom_site_fract_x
_atom_site_fract_y
_atom_site_fract_z
Th1 Th 0.250 0.097 0.246
Th2 Th 0.250 0.403 0.246
Th3 Th 0.250 0.750 0.255
Th4 Th 0.750 0.250 0.745
Th5 Th 0.750 0.597 0.754
Th6 Th 0.750 0.903 0.754
Al1 Al 0.250 0.057 0.600
Al2 Al 0.250 0.250 0.498
Al3 Al 0.250 0.250 0.984
Al4 Al 0.250 0.443 0.600
Al5 Al 0.250 0.580 0.009
Al6 Al 0.250 0.920 0.009
Al7 Al 0.750 0.080 0.991
Al8 Al 0.750 0.420 0.991
Al9 Al 0.750 0.557 0.400
Al10 Al 0.750 0.750 0.016
Al11 Al 0.750 0.750 0.502
Al12 Al 0.750 0.943 0.400
Cu1 Cu 0.250 0.077 0.849
Cu2 Cu 0.250 0.423 0.849
Cu3 Cu 0.250 0.636 0.524
Cu4 Cu 0.250 0.750 0.881
Cu5 Cu 0.250 0.864 0.524
Cu6 Cu 0.750 0.136 0.476
Cu7 Cu 0.750 0.250 0.119
Cu8 Cu 0.750 0.364 0.476
Cu9 Cu 0.750 0.577 0.151
Cu10 Cu 0.750 0.923 0.151
```

=====

No. 2
Density functional theory data (GGA-PBE) for an optimized crystal structure of Th2Al5Cu3.

Geometry as CIF:
```
data_Th2Al5Cu3
_symmetry_space_group_name_H-M 'P 1'
_symmetry_Int_Tables_number 1
_symmetry_space_group_name_Hall 'P 1'
_cell_length_a 8.473
_cell_length_b 8.473
_cell_length_c 8.473
_cell_angle_alpha 103.90
_cell_angle_beta 90.51
_cell_angle_gamma 138.66
loop_
_atom_site_label
_atom_site_type_symbol
_atom_site_fract_x
_atom_site_fract_y
_atom_site_fract_z
Th1 Th 0.129 0.249 0.378
Th2 Th 0.371 0.749 0.120
Th3 Th 0.629 0.251 0.880
Th4 Th 0.871 0.751 0.622
Al1 Al 0.004 0.250 0.754
Al2 Al 0.115 0.637 0.752
Al3 Al 0.250 0.250 0.000
Al4 Al 0.385 0.137 0.522
Al5 Al 0.496 0.250 0.246
Al6 Al 0.504 0.750 0.754
Al7 Al 0.615 0.863 0.478
Al8 Al 0.750 0.750 0.000
Al9 Al 0.885 0.363 0.248
Al10 Al 0.996 0.750 0.246
Cu1 Cu 0.124 0.869 0.993
Cu2 Cu 0.250 0.750 0.500
Cu3 Cu 0.376 0.369 0.746
Cu4 Cu 0.624 0.631 0.254
Cu5 Cu 0.750 0.250 0.500
Cu6 Cu 0.876 0.131 0.007
```

=====

No. 3
Density functional theory data (GGA-PBE) for an optimized crystal structure of Th2Al3Cu.

Geometry as CIF:
```
data_Th2Al3Cu
_symmetry_space_group_name_H-M 'P 1'
_symmetry_Int_Tables_number 1
_symmetry_space_group_name_Hall 'P 1'
_cell_length_a 5.846
_cell_length_b 5.846
_cell_length_c 7.463
_cell_angle_alpha 129.20
_cell_angle_beta 129.20
_cell_angle_gamma 45.59
loop_
_atom_site_label
_atom_site_type_symbol
_atom_site_fract_x
_atom_site_fract_y
_atom_site_fract_z
Th1 Th 0.000 0.000 0.000
Th2 Th 0.055 0.055 0.556
Al1 Al 0.362 0.362 0.146
Al2 Al 0.683 0.683 0.956
Al3 Al 0.698 0.698 0.412
Cu1 Cu 0.358 0.358 0.559
```

=====

No. 4
Density functional theory data (GGA-PBE) for an optimized crystal structure of Th3Al4Cu4.

Geometry as CIF:
```
data_Th3Al4Cu4
_symmetry_space_group_name_H-M 'P 1'
_symmetry_Int_Tables_number 1
_symmetry_space_group_name_Hall 'P 1'
_cell_length_a 12.722
_cell_length_b 12.722
_cell_length_c 12.722
_cell_angle_alpha 161.15
_cell_angle_beta 160.31
_cell_angle_gamma 27.38
loop_
_atom_site_label
_atom_site_type_symbol
_atom_site_fract_x
_atom_site_fract_y
_atom_site_fract_z
Th1 Th 0.000 0.000 0.000
Th2 Th 0.347 0.847 0.500
Th3 Th 0.653 0.153 0.500
Al1 Al 0.198 0.698 0.500
Al2 Al 0.447 0.447 0.000
Al3 Al 0.553 0.553 0.000
Al4 Al 0.802 0.302 0.500
Cu1 Cu 0.099 0.599 0.500
Cu2 Cu 0.251 0.251 0.000
Cu3 Cu 0.749 0.749 0.000
Cu4 Cu 0.901 0.401 0.500
```

=====

No. 5
Density functional theory data (GGA-PBE) for an optimized crystal structure of Th4AlCu3.

Geometry as CIF:
```
data_Th4AlCu3
_symmetry_space_group_name_H-M 'P 1'
_symmetry_Int_Tables_number 1
_symmetry_space_group_name_Hall 'P 1'
_cell_length_a 3.738
_cell_length_b 4.312
_cell_length_c 11.753
_cell_angle_alpha 90.00
_cell_angle_beta 90.00
_cell_angle_gamma 90.00
loop_
_atom_site_label
_atom_site_type_symbol
_atom_site_fract_x
_atom_site_fract_y
_atom_site_fract_z
Th1 Th 0.000 0.000 0.000
Th2 Th 0.000 0.500 0.294
Th3 Th 0.500 0.000 0.487
Th4 Th 0.500 0.500 0.808
Al1 Al 0.000 0.000 0.706
Cu1 Cu 0.000 0.500 0.585
Cu2 Cu 0.500 0.000 0.209
Cu3 Cu 0.500 0.500 0.085
```

=====

No. 6
Density functional theory data (GGA-PBE) for an optimized crystal structure of ThAl2Cu4.

Geometry as CIF:
```
data_ThAl2Cu4
_symmetry_space_group_name_H-M 'P 1'
_symmetry_Int_Tables_number 1
_symmetry_space_group_name_Hall 'P 1'
_cell_length_a 5.286
_cell_length_b 5.286
_cell_length_c 5.286
_cell_angle_alpha 104.07
_cell_angle_beta 104.07
_cell_angle_gamma 120.92
loop_
_atom_site_label
_atom_site_type_symbol
_atom_site_fract_x
_atom_site_fract_y
_atom_site_fract_z
Th1 Th 0.000 0.000 0.000
Al1 Al 0.250 0.750 0.500
Al2 Al 0.750 0.250 0.500
Cu1 Cu 0.309 0.309 0.619
Cu2 Cu 0.309 0.691 0.000
Cu3 Cu 0.691 0.309 0.000
Cu4 Cu 0.691 0.691 0.381
```

=====

No. 7
Density functional theory data (GGA-PBE) for an optimized crystal structure of ThAl4Cu4.

Geometry as CIF:
```
data_ThAl4Cu4
_symmetry_space_group_name_H-M 'P 1'
_symmetry_Int_Tables_number 1
_symmetry_space_group_name_Hall 'P 1'
_cell_length_a 6.295
_cell_length_b 6.295
_cell_length_c 6.295
_cell_angle_alpha 97.27
_cell_angle_beta 97.27
_cell_angle_gamma 138.32
loop_
_atom_site_label
_atom_site_type_symbol
_atom_site_fract_x
_atom_site_fract_y
_atom_site_fract_z
Th1 Th 0.000 0.000 0.000
Al1 Al 0.112 0.609 0.722
Al2 Al 0.391 0.112 0.503
Al3 Al 0.609 0.888 0.497
Al4 Al 0.888 0.391 0.278
Cu1 Cu 0.205 0.326 0.531
Cu2 Cu 0.326 0.795 0.121
Cu3 Cu 0.674 0.205 0.879
Cu4 Cu 0.795 0.674 0.469
```

=====

No. 8
Density functional theory data (GGA-PBE) for an optimized crystal structure of Th2Al3Cu.

Geometry as CIF:
```
data_Th2Al3Cu
_symmetry_space_group_name_H-M 'P 1'
_symmetry_Int_Tables_number 1
_symmetry_space_group_name_Hall 'P 1'
_cell_length_a 8.934
_cell_length_b 8.658
_cell_length_c 5.935
_cell_angle_alpha 72.81
_cell_angle_beta 67.80
_cell_angle_gamma 39.39
loop_
_atom_site_label
_atom_site_type_symbol
_atom_site_fract_x
_atom_site_fract_y
_atom_site_fract_z
Th1 Th 0.247 0.753 0.753
Th2 Th 0.250 0.250 0.250
Th3 Th 0.750 0.750 0.750
Th4 Th 0.753 0.247 0.247
Al1 Al 0.162 0.668 0.332
Al2 Al 0.330 0.330 0.670
Al3 Al 0.332 0.838 0.162
Al4 Al 0.668 0.162 0.838
Al5 Al 0.670 0.670 0.330
Al6 Al 0.838 0.332 0.668
Cu1 Cu 0.166 0.166 0.834
Cu2 Cu 0.834 0.834 0.166
```

=====

Formation energy values (in meV/atom) by entry order: -335 -442 -382 -329 -152 -320 -157 -381.
Spin magnetization values (in μB/f.u.) by entry order: 0.00 0.00 0.00 0.00 0.00 0.00 0.00 0.00.